1.
This record from Alexandria describes an optimized crystal structure of NdHo2Ti. The functional is GGA-PBE.

Cell: 3.370 3.370 35.446 Å, 90.00 90.00 120.00°
Positions (direct):
Nd (0.000, 0.000, 0.000)
Nd (0.333, 0.667, 0.667)
Nd (0.667, 0.333, 0.333)
Ho (0.000, 0.000, 0.417)
Ho (0.000, 0.000, 0.583)
Ho (0.333, 0.667, 0.084)
Ho (0.333, 0.667, 0.249)
Ho (0.667, 0.333, 0.751)
Ho (0.667, 0.333, 0.916)
Ti (0.000, 0.000, 0.500)
Ti (0.333, 0.667, 0.167)
Ti (0.667, 0.333, 0.833)

Computed properties:
volume	29.1	Å³ per atom
ΔH_f (0 K)	1.73	eV/f.u.

=====

2.
This record from Alexandria describes an optimized crystal structure of HgAsOs. The functional is GGA-PBE.

Cell: 3.108 3.108 6.916 Å, 90.00 90.00 120.00°
Positions (direct):
Hg (0.000, 0.000, 0.000)
As (0.667, 0.333, 0.578)
Os (0.333, 0.667, 0.340)

Computed properties:
volume	19.3	Å³ per atom
ΔH_f (0 K)	0.95	eV/f.u.